[1]
Here is a geometry-optimized LiZnAu5 structure from Alexandria. Energies are from GGA-PBE.

extended XYZ file:
```
7
Lattice="-2.4609 -0.1878 3.2806 -1.0749 -3.8271 -1.0254 5.5952 -2.6554 4.0453" Properties=species:S:1:pos:R:3 pbc="T T T"
Li 2.7976 -1.3277 2.0226
Au 3.1010 -2.1496 4.7719
Au 1.0297 -3.3351 3.1502
Au 3.7940 -3.9692 2.6189
Au 0.7263 -2.5133 0.4009
Au 0.0333 -0.6936 2.5539
Zn -1.7679 -2.0074 1.1276
```

Values from the calculation:
- ΔE_f (eV/atom) = -0.2372
- magnetization (μB per formula unit) = 0.0
- V (Å³/atom) = 17.81
- final energy (eV per cell) = -21.235

[2]
Here is a geometry-optimized TmAl3Pt structure from Alexandria. Energies are from GGA-PBE.

extended XYZ file:
```
10
Lattice="4.1442 0.0000 0.0001 0.0000 6.5589 1.6252 -0.0001 0.1867 6.9067" Properties=species:S:1:pos:R:3 pbc="T T T"
Al 1.5787 2.8283 5.8630
Al 3.6509 1.7480 0.8014
Al 3.6510 4.6162 7.2341
Al 1.5788 6.7057 7.9618
Al 3.6510 4.4122 4.5357
Al 1.5789 0.1641 2.1282
Tm 3.6509 1.0510 4.1993
Tm 1.5790 3.5250 2.4648
Pt 1.5789 5.3249 5.8696
Pt 3.6510 5.8102 2.4194
```

Values from the calculation:
- ΔE_f (eV/atom) = -0.7879
- magnetization (μB per formula unit) = 0.0
- V (Å³/atom) = 18.65
- final energy (eV per cell) = -51.359
- E above lowest polymorph (eV per atom) = 0.008